# YMoF3 | the Alexandria database | GGA+U | optimized geometry
data_YMoF3
_chemical_formula_sum 'Y1 Mo1 F3'
_space_group_name_H-M_alt 'P m -3 m'
_space_group_IT_number 221
_space_group_name_Hall '-P 4 2 3'
_cell_length_a 4.505
_cell_length_b 4.505
_cell_length_c 4.505
_cell_angle_alpha 90.00
_cell_angle_beta 90.00
_cell_angle_gamma 90.00
loop_
_atom_site_label
_atom_site_fract_x
_atom_site_fract_y
_atom_site_fract_z
Y1 0.000 0.000 0.000
Mo1 0.500 0.500 0.500
F1 0.000 0.500 0.500
# volume	18.28	A^3/atom
# polymorph energy (0 for the lowest one)	885	meV/atom
# uncorrected energy	-26.574	eV/cell
# total magnetization	1.09	μB per atom